(1)
Computed, not measured: In12As5Se3 after structural relaxation at the PBE level of DFT.

a b c (Å): 14.7441 14.7441 14.7441
angles (deg): 109.47 109.47 109.47
With the nearest neighbours (Å) after each atom.
Element x y z (fractional)
In1 0.0543 0.2221 0.1435  2 As 2.75-2.89, 1 Se 3.05
In2 0.0543 0.3323 0.9109  2 As 2.75-2.89, 1 Se 3.05
In3 0.0786 0.7221 0.6677  2 As 2.75-2.89, 1 Se 3.05
In4 0.0786 0.8565 0.4109  2 As 2.75-2.89, 1 Se 3.05
In5 0.0891 0.6435 0.4214  2 As 2.75-2.89, 1 Se 3.05
In6 0.0891 0.9457 0.6677  2 As 2.75-2.89, 1 Se 3.05
In7 0.1435 0.0543 0.2221  2 As 2.75-2.89, 1 Se 3.05
In8 0.1435 0.5891 0.9214  2 As 2.75-2.89, 1 Se 3.05
In9 0.1677 0.2221 0.5786  2 As 2.75-2.89, 1 Se 3.05
In10 0.1677 0.4457 0.5891  2 As 2.75-2.89, 1 Se 3.05
In11 0.2221 0.1435 0.0543  2 As 2.75-2.89, 1 Se 3.05
In12 0.2221 0.5786 0.1677  2 As 2.75-2.89, 1 Se 3.05
In13 0.2779 0.3323 0.9214  2 As 2.75-2.89, 1 Se 3.05
In14 0.2779 0.4457 0.3565  2 As 2.75-2.89, 1 Se 3.05
In15 0.3323 0.9109 0.0543  2 As 2.75-2.89, 1 Se 3.05
In16 0.3323 0.9214 0.2779  2 As 2.75-2.89, 1 Se 3.05
In17 0.3565 0.2779 0.4457  2 As 2.75-2.89, 1 Se 3.05
In18 0.3565 0.5786 0.9109  2 As 2.75-2.89, 1 Se 3.05
In19 0.4109 0.0786 0.8565  2 As 2.75-2.89, 1 Se 3.05
In20 0.4109 0.8323 0.5543  2 As 2.75-2.89, 1 Se 3.05
In21 0.4214 0.0891 0.6435  2 As 2.75-2.89, 1 Se 3.05
In22 0.4214 0.8323 0.7779  2 As 2.75-2.89, 1 Se 3.05
In23 0.4457 0.3565 0.2779  2 As 2.75-2.89, 1 Se 3.05
In24 0.4457 0.5891 0.1677  2 As 2.75-2.89, 1 Se 3.05
In25 0.5543 0.4109 0.8323  2 As 2.75-2.89, 1 Se 3.05
In26 0.5543 0.6435 0.7221  2 As 2.75-2.89, 1 Se 3.05
In27 0.5786 0.1677 0.2221  2 As 2.75-2.89, 1 Se 3.05
In28 0.5786 0.9109 0.3565  2 As 2.75-2.89, 1 Se 3.05
In29 0.5891 0.1677 0.4457  2 As 2.75-2.89, 1 Se 3.05
In30 0.5891 0.9214 0.1435  2 As 2.75-2.89, 1 Se 3.05
In31 0.6435 0.4214 0.0891  2 As 2.75-2.89, 1 Se 3.05
In32 0.6435 0.7221 0.5543  2 As 2.75-2.89, 1 Se 3.05
In33 0.6677 0.0786 0.7221  2 As 2.75-2.89, 1 Se 3.05
In34 0.6677 0.0891 0.9457  2 As 2.75-2.89, 1 Se 3.05
In35 0.7221 0.5543 0.6435  2 As 2.75-2.89, 1 Se 3.05
In36 0.7221 0.6677 0.0786  2 As 2.75-2.89, 1 Se 3.05
In37 0.7779 0.4214 0.8323  2 As 2.75-2.89, 1 Se 3.05
In38 0.7779 0.8565 0.9457  2 As 2.75-2.89, 1 Se 3.05
In39 0.8323 0.5543 0.4109  2 As 2.75-2.89, 1 Se 3.05
In40 0.8323 0.7779 0.4214  2 As 2.75-2.89, 1 Se 3.05
In41 0.8565 0.4109 0.0786  2 As 2.75-2.89, 1 Se 3.05
In42 0.8565 0.9457 0.7779  2 As 2.75-2.89, 1 Se 3.05
In43 0.9109 0.0543 0.3323  2 As 2.75-2.89, 1 Se 3.05
In44 0.9109 0.3565 0.5786  2 As 2.75-2.89, 1 Se 3.05
In45 0.9214 0.1435 0.5891  2 As 2.75-2.89, 1 Se 3.05
In46 0.9214 0.2779 0.3323  2 As 2.75-2.89, 1 Se 3.05
In47 0.9457 0.6677 0.0891  2 As 2.75-2.89, 1 Se 3.05
In48 0.9457 0.7779 0.8565  2 As 2.75-2.89, 1 Se 3.05
As1 0.0000 0.0000 0.0000  6 In 2.89
As2 0.0000 0.0000 0.5000  6 In 2.89
As3 0.0000 0.5000 0.0000  6 In 2.89
As4 0.0000 0.5000 0.5000  6 In 2.89
As5 0.1250 0.7500 0.8750  4 In 2.75
As6 0.1250 0.8750 0.2500  4 In 2.75
As7 0.2500 0.1250 0.8750  4 In 2.75
As8 0.2500 0.6250 0.3750  4 In 2.75
As9 0.3750 0.2500 0.6250  4 In 2.75
As10 0.3750 0.6250 0.7500  4 In 2.75
As11 0.5000 0.0000 0.0000  6 In 2.89
As12 0.5000 0.0000 0.5000  6 In 2.89
As13 0.5000 0.5000 0.0000  6 In 2.89
As14 0.5000 0.5000 0.5000  6 In 2.89
As15 0.6250 0.3750 0.2500  4 In 2.75
As16 0.6250 0.7500 0.3750  4 In 2.75
As17 0.7500 0.3750 0.6250  4 In 2.75
As18 0.7500 0.8750 0.1250  4 In 2.75
As19 0.8750 0.1250 0.7500  4 In 2.75
As20 0.8750 0.2500 0.1250  4 In 2.75
Se1 0.1250 0.2500 0.3750  8 In 3.05-3.17
Se2 0.1250 0.3750 0.7500  8 In 3.05-3.17
Se3 0.2500 0.3750 0.1250  8 In 3.05-3.17
Se4 0.2500 0.8750 0.6250  8 In 3.05-3.17
Se5 0.3750 0.1250 0.2500  8 In 3.05-3.17
Se6 0.3750 0.7500 0.1250  8 In 3.05-3.17
Se7 0.6250 0.2500 0.8750  8 In 3.05-3.17
Se8 0.6250 0.8750 0.7500  8 In 3.05-3.17
Se9 0.7500 0.1250 0.3750  8 In 3.05-3.17
Se10 0.7500 0.6250 0.8750  8 In 3.05-3.17
Se11 0.8750 0.6250 0.2500  8 In 3.05-3.17
Se12 0.8750 0.7500 0.6250  8 In 3.05-3.17

Values from the calculation:
formation energy without anion corrections	-0.01	eV per atom
uncorrected energy	-3.339	eV/atom
magnetic moment	0.0	μB per cell

(2)
Computed, not measured: Pr8NdRu2 after structural relaxation at the PBE level of DFT.

a b c (Å): 7.7418 7.7418 7.4760
angles (deg): 108.41 108.41 67.60
With the nearest neighbours (Å) after each atom.
Element x y z (fractional)
Pr1 0.0797 0.6877 0.6970  2 Ru 2.81-3.08
Pr2 0.1679 0.1679 0.8069  1 Ru 2.76
Pr3 0.3123 0.9203 0.3030  2 Ru 2.81-3.08
Pr4 0.3779 0.3779 0.3042  1 Ru 2.70
Pr5 0.6221 0.6221 0.6958  1 Ru 2.70
Pr6 0.6877 0.0797 0.6970  2 Ru 2.81-3.08
Pr7 0.8321 0.8321 0.1931  1 Ru 2.76
Pr8 0.9203 0.3123 0.3030  2 Ru 2.81-3.08
Nd1 0.5000 0.5000 0.0000  2 Ru 3.11, 6 Pr 3.22-3.41
Ru1 0.3036 0.3036 0.5968  4 Pr 2.70-2.81
Ru2 0.6964 0.6964 0.4032  4 Pr 2.70-2.81

Values from the calculation:
energy relative to the elements	26	meV per atom
uncorrected energy	-5.570	eV/atom
magnetic moment	0.0	μB per cell

(3)
Computed, not measured: ScUTcRu after structural relaxation at the PBE level of DFT.

a b c (Å): 6.6086 6.6086 6.6086
angles (deg): 90.00 90.00 90.00
With the nearest neighbours (Å) after each atom.
Element x y z (fractional)
Sc1 0.0000 0.0000 0.0000  4 Tc 2.86, 4 Ru 2.86
Sc2 0.0000 0.5000 0.5000  4 Tc 2.86, 4 Ru 2.86
Sc3 0.5000 0.0000 0.5000  4 Tc 2.86, 4 Ru 2.86
Sc4 0.5000 0.5000 0.0000  4 Tc 2.86, 4 Ru 2.86
U1 0.0000 0.0000 0.5000  4 Tc 2.86, 4 Ru 2.86
U2 0.0000 0.5000 0.0000  4 Tc 2.86, 4 Ru 2.86
U3 0.5000 0.0000 0.0000  4 Tc 2.86, 4 Ru 2.86
U4 0.5000 0.5000 0.5000  4 Tc 2.86, 4 Ru 2.86
Tc1 0.2500 0.2500 0.2500  4 U 2.86, 4 Sc 2.86
Tc2 0.2500 0.7500 0.7500  4 U 2.86, 4 Sc 2.86
Tc3 0.7500 0.2500 0.7500  4 U 2.86, 4 Sc 2.86
Tc4 0.7500 0.7500 0.2500  4 U 2.86, 4 Sc 2.86
Ru1 0.2500 0.2500 0.7500  4 U 2.86, 4 Sc 2.86
Ru2 0.2500 0.7500 0.2500  4 U 2.86, 4 Sc 2.86
Ru3 0.7500 0.2500 0.2500  4 U 2.86, 4 Sc 2.86
Ru4 0.7500 0.7500 0.7500  4 Sc 2.86, 4 U 2.86

Values from the calculation:
ΔE to the lowest computed polymorph	0.056	eV/atom
energy relative to the elements	-267	meV per atom
uncorrected energy	-9.583	eV/atom
magnetic moment	5.8	μB per cell

Q: Number 3 is which compound?
A: ScUTcRu

Q: Number 1 is which compound?
A: In12As5Se3